Entry 1:
Computed, not measured: an optimized crystal structure of K2CeAgCl6 at the PBEsol level of DFT.

```
K2CeAgCl6
1.0
0.000 5.334 5.334
5.334 0.000 5.334
5.334 5.334 0.000
K Ce Ag Cl
2 1 1 6
Cartesian
2.667 2.667 2.667 K
8.000 8.000 8.000 K
0.000 0.000 0.000 Ce
5.334 5.334 5.334 Ag
5.334 5.334 2.695 Cl
5.334 2.695 5.334 Cl
7.972 5.334 5.334 Cl
2.695 5.334 5.334 Cl
5.334 7.972 5.334 Cl
5.334 5.334 7.972 Cl
```

As for the space-group type: Fm-3m. The value obtained for the volume is 303.5 Å³/cell. As for the density of states at the Fermi level: 0.472 states/eV per atom. For the formation energy without anion corrections, the calculation gives -1.67 eV per atom.



Entry 2:
Computed, not measured: an optimized crystal structure of CaBePt2 at the PBEsol level of DFT.

```
CaBePt2
1.0
6.364 0.000 0.000
0.000 6.364 0.000
0.000 0.000 6.364
Ca Be Pt
4 4 8
Cartesian
0.000 0.000 0.000 Ca
0.000 3.182 3.182 Ca
3.182 0.000 3.182 Ca
3.182 3.182 0.000 Ca
1.591 1.591 1.591 Be
1.591 4.773 4.773 Be
4.773 1.591 4.773 Be
4.773 4.773 1.591 Be
0.000 0.000 3.182 Pt
0.000 3.182 0.000 Pt
1.591 1.591 4.773 Pt
1.591 4.773 1.591 Pt
3.182 0.000 0.000 Pt
3.182 3.182 3.182 Pt
4.773 1.591 1.591 Pt
4.773 4.773 4.773 Pt
```

As for the space-group type: F-43m. The value obtained for the volume is 257.7 Å³/cell. As for the density of states at the Fermi level: 0.521 states/eV per atom. Its calculated formation energy is -182.3 meV/atom.



Entry 3:
Computed, not measured: an optimized crystal structure of CsTiCl3 at the PBEsol level of DFT.

```
CsTiCl3
1.0
5.002 0.000 0.000
0.000 5.002 0.000
0.000 0.000 5.002
Cs Ti Cl
1 1 3
Cartesian
0.000 0.000 0.000 Cs
2.501 2.501 2.501 Ti
0.000 2.501 2.501 Cl
2.501 0.000 2.501 Cl
2.501 2.501 0.000 Cl
```

The energy above the lowest structure with this stoichiometry comes out at 88 meV/atom. As for the space-group type: Pm-3m. The value obtained for the volume is 125.2 Å³/cell. As for the density of states at the Fermi level: 0.782 states/eV per atom. For the formation energy without anion corrections, the calculation gives -1.63 eV per atom.



Q: What is the formula in the first record?
A: K2CeAgCl6



Please write out number 3 again, unchanged.
Computed, not measured: an optimized crystal structure of CsTiCl3 at the PBEsol level of DFT.

```
CsTiCl3
1.0
5.002 0.000 0.000
0.000 5.002 0.000
0.000 0.000 5.002
Cs Ti Cl
1 1 3
Cartesian
0.000 0.000 0.000 Cs
2.501 2.501 2.501 Ti
0.000 2.501 2.501 Cl
2.501 0.000 2.501 Cl
2.501 2.501 0.000 Cl
```

The energy above the lowest structure with this stoichiometry comes out at 88 meV/atom. As for the space-group type: Pm-3m. The value obtained for the volume is 125.2 Å³/cell. As for the density of states at the Fermi level: 0.782 states/eV per atom. For the formation energy without anion corrections, the calculation gives -1.63 eV per atom.



Q: Among the records above, which one has the highest density of states at the Fermi level?
A: CsTiCl3



Q: Which value of volume does entry 1 give?
A: 303.5 Å³/cell